Computed, not measured: a geometry-optimized Pr2MgBe3Pt4 structure at the PBE level of DFT.

Cell and atoms, written as CIF:
```
data_Pr2MgBe3Pt4
_chemical_formula_sum 'Pr2 Mg1 Be3 Pt4'
_space_group_name_H-M_alt 'P -4 m 2'
_space_group_IT_number 115
_space_group_name_Hall 'P -4 -2'
_cell_length_a 4.091
_cell_length_b 4.091
_cell_length_c 10.390
_cell_angle_alpha 90.00
_cell_angle_beta 90.00
_cell_angle_gamma 90.00
loop_
_atom_site_label
_atom_site_type_symbol
_atom_site_fract_x
_atom_site_fract_y
_atom_site_fract_z
Pr1 Pr 0.000 0.500 0.237
Mg1 Mg 0.000 0.000 0.500
Be1 Be 0.000 0.500 0.887
Be2 Be 0.500 0.500 0.500
Pt1 Pt 0.000 0.000 0.000
Pt2 Pt 0.000 0.500 0.652
Pt3 Pt 0.500 0.500 0.000
```

Results
E_form (meV/atom): -826
Total DFT energy (no corrections) (eV per cell): -54.8

Computed, not measured: a geometry-optimized PrYMgBe structure at the PBE level of DFT.

Cell and atoms, written as CIF:
```
data_PrYMgBe
_chemical_formula_sum 'Pr4 Y4 Mg4 Be4'
_space_group_name_H-M_alt 'F -4 3 m'
_space_group_IT_number 216
_space_group_name_Hall 'F -4 2 3'
_cell_length_a 7.346
_cell_length_b 7.346
_cell_length_c 7.346
_cell_angle_alpha 90.00
_cell_angle_beta 90.00
_cell_angle_gamma 90.00
loop_
_atom_site_label
_atom_site_type_symbol
_atom_site_fract_x
_atom_site_fract_y
_atom_site_fract_z
Pr1 Pr 0.000 0.000 0.000
Y1 Y 0.000 0.000 0.500
Mg1 Mg 0.250 0.250 0.250
Be1 Be 0.250 0.250 0.750
```

Results
E_form (meV/atom): 97
Total DFT energy (no corrections) (eV per cell): -64.7

Computed, not measured: a geometry-optimized PrMgBeZn structure at the PBE level of DFT.

Cell and atoms, written as CIF:
```
data_PrMgBeZn
_chemical_formula_sum 'Pr4 Mg4 Be4 Zn4'
_space_group_name_H-M_alt 'F -4 3 m'
_space_group_IT_number 216
_space_group_name_Hall 'F -4 2 3'
_cell_length_a 6.844
_cell_length_b 6.844
_cell_length_c 6.844
_cell_angle_alpha 90.00
_cell_angle_beta 90.00
_cell_angle_gamma 90.00
loop_
_atom_site_label
_atom_site_type_symbol
_atom_site_fract_x
_atom_site_fract_y
_atom_site_fract_z
Pr1 Pr 0.000 0.000 0.000
Mg1 Mg 0.000 0.000 0.500
Be1 Be 0.250 0.250 0.750
Zn1 Zn 0.250 0.250 0.250
```

Results
E_form (meV/atom): -78
Total DFT energy (no corrections) (eV per cell): -46.7

Computed, not measured: a geometry-optimized MgBe4Pt5 structure at the PBE level of DFT.

Cell and atoms, written as CIF:
```
data_MgBe4Pt5
_chemical_formula_sum 'Mg1 Be4 Pt5'
_space_group_name_H-M_alt 'P 4/m m m'
_space_group_IT_number 123
_space_group_name_Hall '-P 4 2'
_cell_length_a 2.834
_cell_length_b 2.834
_cell_length_c 15.451
_cell_angle_alpha 90.00
_cell_angle_beta 90.00
_cell_angle_gamma 90.00
loop_
_atom_site_label
_atom_site_type_symbol
_atom_site_fract_x
_atom_site_fract_y
_atom_site_fract_z
Mg1 Mg 0.000 0.000 0.000
Be1 Be 0.000 0.000 0.215
Be2 Be 0.000 0.000 0.405
Pt1 Pt 0.500 0.500 0.129
Pt2 Pt 0.500 0.500 0.316
Pt3 Pt 0.500 0.500 0.500
```

Results
E_form (meV/atom): -799
Total DFT energy (no corrections) (eV per cell): -54.7